Entry 1:
A plane-wave DFT calculation with PBE was carried out for a relaxed Na3GeSe4 crystal.

```
Na3GeSe4
1.0
8.4967 0.0000 0.0000
0.0000 10.2588 0.0000
0.0000 0.0000 10.0270
Na Ge Se
12 4 16
Cartesian
0.9784 0.4010 2.3132 Na
0.9784 4.7284 2.3132 Na
1.2686 7.6941 4.4146 Na
2.9798 2.5647 9.4281 Na
3.2699 5.5304 7.3267 Na
3.2699 9.8578 7.3267 Na
5.2268 0.4010 2.7004 Na
5.2268 4.7284 2.7004 Na
5.5169 7.6941 0.5989 Na
7.2281 2.5647 5.6124 Na
7.5183 5.5304 7.7139 Na
7.5183 9.8578 7.7139 Na
1.6644 7.6941 9.8654 Ge
2.5839 2.5647 4.8519 Ge
5.9128 7.6941 5.1751 Ge
6.8323 2.5647 0.1616 Ge
8.4942 2.5647 8.4955 Se
0.0025 7.6941 1.5315 Se
0.9715 7.6941 7.6081 Se
1.2874 0.5727 5.3420 Se
1.2874 4.5567 5.3420 Se
2.9609 5.7021 0.3285 Se
2.9609 9.6861 0.3285 Se
3.2768 2.5647 2.5945 Se
4.2459 2.5647 6.5450 Se
4.2509 7.6941 3.4820 Se
5.2199 7.6941 7.4325 Se
5.5358 0.5727 9.6985 Se
5.5358 4.5567 9.6985 Se
7.2093 5.7021 4.6850 Se
7.2093 9.6861 4.6850 Se
7.5252 2.5647 2.4190 Se
```

uncorrected formation energy: -0.697 eV per atom
ΔE to the lowest computed polymorph: 0.0000 eV/atom
calculated density: 3.476 g cm⁻³

=====

Entry 2:
A plane-wave DFT calculation with PBE was carried out for a relaxed NaGe3Se3 crystal.

```
NaGe3Se3
1.0
4.3164 2.4921 5.8965
-4.3164 2.4921 5.8965
0.0000 -4.9841 5.8965
Na Ge Se
2 6 6
Cartesian
0.0000 0.0000 2.5806 Na
0.0000 0.0000 15.1088 Na
-3.0025 0.0692 6.9674 Ge
-1.5612 -2.5656 10.7220 Ge
1.4413 -2.6349 6.9674 Ge
-1.4413 2.6349 10.7220 Ge
1.5612 2.5656 6.9674 Ge
3.0025 -0.0692 10.7220 Ge
-1.9064 -2.3778 7.3106 Se
-3.0124 0.4621 10.3788 Se
-1.1060 2.8398 7.3106 Se
1.1060 -2.8398 10.3788 Se
3.0124 -0.4621 7.3106 Se
1.9064 2.3778 10.3788 Se
```

uncorrected formation energy: -0.195 eV per atom
calculated density: 4.170 g cm⁻³

=====

Entry 3:
A plane-wave DFT calculation with PBE was carried out for a relaxed Na2Ge2Se3 crystal.

```
Na2Ge2Se3
1.0
7.1483 0.0000 0.0000
0.0000 7.5186 0.0000
-1.9202 0.0000 7.0084
Na Ge Se
4 4 6
Cartesian
0.7744 1.2824 2.5086 Na
-0.1857 2.4769 6.0128 Na
5.4138 5.0417 0.9956 Na
4.4537 6.2362 4.4998 Na
1.3613 5.0382 3.3052 Ge
0.4012 6.2397 6.8094 Ge
4.8269 1.2789 0.1990 Ge
3.8668 2.4804 3.7032 Ge
0.0000 0.0000 0.0000 Se
-0.9601 3.7593 3.5042 Se
1.6565 0.3092 5.2195 Se
2.6167 3.4501 1.7153 Se
2.6114 4.0686 5.2931 Se
3.5715 7.2094 1.7889 Se
```

uncorrected formation energy: -0.565 eV per atom
calculated density: 3.775 g cm⁻³

=====

Entry 4:
A plane-wave DFT calculation with PBE was carried out for a relaxed Na3GeSe crystal.

```
Na3GeSe
1.0
5.4310 0.0000 0.0000
0.0000 5.4310 0.0000
0.0000 0.0000 5.4310
Na Ge Se
3 1 1
Cartesian
0.0000 0.0000 2.7155 Na
0.0000 2.7155 0.0000 Na
2.7155 0.0000 0.0000 Na
2.7155 2.7155 2.7155 Ge
0.0000 0.0000 0.0000 Se
```

uncorrected formation energy: -0.155 eV per atom
ΔE to the lowest computed polymorph: 0.0000 eV/atom
calculated density: 2.286 g cm⁻³

=====

Number 3 is which compound?
Na2Ge2Se3

=====

What did the third record say?
A plane-wave DFT calculation with PBE was carried out for a relaxed Na2Ge2Se3 crystal.

```
Na2Ge2Se3
1.0
7.1483 0.0000 0.0000
0.0000 7.5186 0.0000
-1.9202 0.0000 7.0084
Na Ge Se
4 4 6
Cartesian
0.7744 1.2824 2.5086 Na
-0.1857 2.4769 6.0128 Na
5.4138 5.0417 0.9956 Na
4.4537 6.2362 4.4998 Na
1.3613 5.0382 3.3052 Ge
0.4012 6.2397 6.8094 Ge
4.8269 1.2789 0.1990 Ge
3.8668 2.4804 3.7032 Ge
0.0000 0.0000 0.0000 Se
-0.9601 3.7593 3.5042 Se
1.6565 0.3092 5.2195 Se
2.6167 3.4501 1.7153 Se
2.6114 4.0686 5.2931 Se
3.5715 7.2094 1.7889 Se
```

uncorrected formation energy: -0.565 eV per atom
calculated density: 3.775 g cm⁻³

=====

uncorrected formation energy of number 4 (Na3GeSe)?
-0.155 eV per atom